A plane-wave DFT calculation with PBE-GGA was carried out for a relaxed SrIn3Hg9 crystal.

Results
Energy of formation from the pure elements in eV per atom: -0.079
DFT total energy in eV/atom: -1.050
D(E_F) in states/eV per atom: 0.388

Unit cell a=6.220 b=7.797 c=8.878 alpha=80.98 beta=69.50 gamma=63.42
Element x y z (fractional)
1 In 0.000 0.000 0.500
2 In 0.500 0.500 0.000
3 In 0.500 0.000 0.500
4 Hg 0.670 0.364 0.350
5 Hg 0.336 0.210 0.210
6 Hg 0.664 0.790 0.790
7 Hg 0.020 0.364 0.650
8 Hg 0.547 0.210 0.790
9 Hg 0.330 0.636 0.650
10 Hg 0.453 0.790 0.210
11 Hg 0.000 0.500 0.000
12 Hg 0.980 0.636 0.350
13 Sr 0.000 0.000 0.000

A plane-wave DFT calculation with PBE-GGA was carried out for a relaxed Sr2In15Hg2 crystal.

Results
Energy of formation from the pure elements in eV per atom: -0.105
DFT total energy in eV/atom: -2.475
D(E_F) in states/eV per atom: 0.504

Unit cell a=8.647 b=8.647 c=8.647 alpha=68.59 beta=68.59 gamma=68.59
Element x y z (fractional)
1 In 0.000 0.000 0.500
2 In 0.297 0.000 0.703
3 In 0.429 0.805 0.429
4 In 0.805 0.429 0.429
5 In 0.429 0.429 0.805
6 In 0.297 0.703 0.000
7 In 0.571 0.195 0.571
8 In 0.571 0.571 0.195
9 In 0.000 0.500 0.000
10 In 0.703 0.297 0.000
11 In 0.000 0.703 0.297
12 In 0.195 0.571 0.571
13 In 0.500 0.000 0.000
14 In 0.000 0.297 0.703
15 In 0.703 0.000 0.297
16 Sr 0.718 0.718 0.718
17 Sr 0.282 0.282 0.282
18 Hg 0.899 0.899 0.899
19 Hg 0.101 0.101 0.101